1.
Crystalline RbHgPb at its relaxed geometry. Source: OQMD via LeMat-Bulk, functional PBE-GGA.

The structure in CIF format:
```
data_RbHgPb
_cell_length_a 7.792
_cell_length_b 7.792
_cell_length_c 7.792
_cell_angle_alpha 90.00
_cell_angle_beta 90.00
_cell_angle_gamma 90.00
_space_group_name_H-M_alt 'F -4 3 m'
_space_group_IT_number 216
_space_group_name_Hall 'F -4 2 3'
loop_
_atom_site_label
_atom_site_fract_x
_atom_site_fract_y
_atom_site_fract_z
Rb1 0.000 0.000 0.000
Hg1 0.250 0.250 0.750
Pb1 0.000 0.000 0.500
```

Computed properties:
- crystal system = cubic
- mass density (kg/m3) = 6924
- final energy (eV per atom) = -1.622
- energy relative to the lowest polymorph listed for this composition (eV/atom) = 0.000



2.
Crystalline RbHgPb at its relaxed geometry. Source: OQMD via LeMat-Bulk, functional PBE-GGA.

The structure in CIF format:
```
data_RbHgPb
_cell_length_a 8.125
_cell_length_b 8.125
_cell_length_c 8.125
_cell_angle_alpha 90.00
_cell_angle_beta 90.00
_cell_angle_gamma 90.00
_space_group_name_H-M_alt 'F -4 3 m'
_space_group_IT_number 216
_space_group_name_Hall 'F -4 2 3'
loop_
_atom_site_label
_atom_site_fract_x
_atom_site_fract_y
_atom_site_fract_z
Rb1 0.000 0.000 0.000
Hg1 0.250 0.250 0.750
Pb1 0.250 0.250 0.250
```

Computed properties:
- crystal system = cubic
- mass density (kg/m3) = 6108
- final energy (eV per atom) = -1.248
- energy relative to the lowest polymorph listed for this composition (eV/atom) = 0.374



3.
Crystalline RbHg2Pb2 at its relaxed geometry. Source: OQMD via LeMat-Bulk, functional PBE-GGA.

The structure in CIF format:
```
data_RbHg2Pb2
_cell_length_a 4.976
_cell_length_b 4.976
_cell_length_c 13.403
_cell_angle_alpha 90.00
_cell_angle_beta 90.00
_cell_angle_gamma 90.00
_space_group_name_H-M_alt 'I 4/m m m'
_space_group_IT_number 139
_space_group_name_Hall '-I 4 2'
loop_
_atom_site_label
_atom_site_fract_x
_atom_site_fract_y
_atom_site_fract_z
Rb1 0.000 0.000 0.000
Hg1 0.000 0.000 0.394
Pb1 0.000 0.500 0.250
```

Computed properties:
- crystal system = tetragonal
- mass density (kg/m3) = 9016
- final energy (eV per atom) = -1.939



4.
Crystalline RbHg3PbS4 at its relaxed geometry. Source: OQMD via LeMat-Bulk, functional PBE-GGA.

The structure in CIF format:
```
data_RbHg3PbS4
_cell_length_a 6.775
_cell_length_b 6.775
_cell_length_c 6.775
_cell_angle_alpha 90.00
_cell_angle_beta 90.00
_cell_angle_gamma 90.00
_space_group_name_H-M_alt 'P -4 3 m'
_space_group_IT_number 215
_space_group_name_Hall 'P -4 2 3'
loop_
_atom_site_label
_atom_site_fract_x
_atom_site_fract_y
_atom_site_fract_z
Rb1 0.000 0.000 0.000
Hg1 0.000 0.500 0.500
Pb1 0.500 0.500 0.500
S1 0.267 0.267 0.267
```

Computed properties:
- crystal system = cubic
- mass density (kg/m3) = 5462
- final energy (eV per atom) = -2.595



5.
Crystalline RbHg3PbSe4 at its relaxed geometry. Source: OQMD via LeMat-Bulk, functional PBE-GGA.

The structure in CIF format:
```
data_RbHg3PbSe4
_cell_length_a 6.971
_cell_length_b 6.971
_cell_length_c 6.971
_cell_angle_alpha 90.00
_cell_angle_beta 90.00
_cell_angle_gamma 90.00
_space_group_name_H-M_alt 'P -4 3 m'
_space_group_IT_number 215
_space_group_name_Hall 'P -4 2 3'
loop_
_atom_site_label
_atom_site_fract_x
_atom_site_fract_y
_atom_site_fract_z
Rb1 0.000 0.000 0.000
Hg1 0.000 0.500 0.500
Pb1 0.500 0.500 0.500
Se1 0.265 0.265 0.265
```

Computed properties:
- crystal system = cubic
- mass density (kg/m3) = 5933
- final energy (eV per atom) = -2.407



6.
Crystalline Rb4SnHg2Pb at its relaxed geometry. Source: OQMD via LeMat-Bulk, functional PBE-GGA.

The structure in CIF format:
```
data_Rb4SnHg2Pb
_cell_length_a 6.945
_cell_length_b 11.434
_cell_length_c 8.667
_cell_angle_alpha 90.00
_cell_angle_beta 90.00
_cell_angle_gamma 90.00
_space_group_name_H-M_alt 'A m m 2'
_space_group_IT_number 38
loop_
_space_group_symop_operation_xyz
'x,y,z'
'-x,-y,z'
'-x,y,z'
'x,-y,z'
'x,y+1/2,z+1/2'
'-x,-y+1/2,z+1/2'
'-x,y+1/2,z+1/2'
'x,-y+1/2,z+1/2'
loop_
_atom_site_label
_atom_site_fract_x
_atom_site_fract_y
_atom_site_fract_z
Rb1 0.000 0.173 0.000
Rb2 0.500 0.174 0.300
Sn1 0.500 0.000 0.913
Hg1 0.252 0.000 0.653
Pb1 0.000 0.000 0.385
```

Computed properties:
- crystal system = orthorhombic
- mass density (kg/m3) = 5158
- final energy (eV per atom) = -1.749



7.
Crystalline RbHg3Te4Pb at its relaxed geometry. Source: OQMD via LeMat-Bulk, functional PBE-GGA.

The structure in CIF format:
```
data_RbHg3Te4Pb
_cell_length_a 7.359
_cell_length_b 7.359
_cell_length_c 7.359
_cell_angle_alpha 90.00
_cell_angle_beta 90.00
_cell_angle_gamma 90.00
_space_group_name_H-M_alt 'P -4 3 m'
_space_group_IT_number 215
_space_group_name_Hall 'P -4 2 3'
loop_
_atom_site_label
_atom_site_fract_x
_atom_site_fract_y
_atom_site_fract_z
Rb1 0.000 0.000 0.000
Hg1 0.000 0.500 0.500
Te1 0.266 0.266 0.266
Pb1 0.500 0.500 0.500
```

Computed properties:
- crystal system = cubic
- mass density (kg/m3) = 5853
- final energy (eV per atom) = -2.198



8.
Crystalline Re2HgPb at its relaxed geometry. Source: OQMD via LeMat-Bulk, functional PBE-GGA.

The structure in CIF format:
```
data_Re2HgPb
_cell_length_a 6.724
_cell_length_b 6.724
_cell_length_c 6.724
_cell_angle_alpha 90.00
_cell_angle_beta 90.00
_cell_angle_gamma 90.00
_space_group_name_H-M_alt 'F -4 3 m'
_space_group_IT_number 216
_space_group_name_Hall 'F -4 2 3'
loop_
_atom_site_label
_atom_site_fract_x
_atom_site_fract_y
_atom_site_fract_z
Re1 0.000 0.000 0.000
Re2 0.250 0.250 0.250
Hg1 0.250 0.250 0.750
Pb1 0.000 0.000 0.500
```

Computed properties:
- crystal system = cubic
- mass density (kg/m3) = 17047
- final energy (eV per atom) = -5.956



> The highest final energy belongs to which entry?

number 2



> What is the final energy in the third record?

-1.939 eV per atom